# CrHgHF2

A relaxed CrHgHF2 crystal (PBE with a Hubbard U, Alexandria).

Its total energy is -17.745 eV/f.u. As for the crystal system: tetragonal. Its density of states at the Fermi level is 0.34 states/eV per atom.

The space group is P4/mmm (No. 123) and the conventional cell measures 4.613, 4.613 and 3.231 Å, with angles of 90.00, 90.00 and 90.00 degrees. Symmetry generates all atoms from Cr at (0.000, 0.000, 0.000), Hg at (0.500, 0.500, 0.000), H at (0.000, 0.000, 0.500) and F at (0.000, 0.500, 0.500).